Record 1
YTm2ScIn4 (GGA-PBE, optimized geometry); uncorrected energy = -4.5152 eV/atom; DOS at the Fermi energy = 0.60 states/eV/atom; formation enthalpy at 0 K = -0.429 eV per atom
1.0
2.609 1.506 8.556
-2.609 1.506 8.556
0.000 -3.012 8.556
Y Tm Sc In
1 2 1 4
direct
0.000 0.000 0.000
0.249 0.249 0.249
0.751 0.751 0.751
0.500 0.500 0.500
0.127 0.127 0.127
0.377 0.377 0.377
0.623 0.623 0.623
0.873 0.873 0.873

***

Record 2
TmSc2Zn2In2 (GGA-PBE, optimized geometry); uncorrected energy = -3.8282 eV/atom; DOS at the Fermi energy = 0.76 states/eV/atom; formation enthalpy at 0 K = -0.234 eV per atom
1.0
2.317 1.338 8.385
-2.317 1.338 8.385
0.000 -2.676 8.385
Tm Sc Zn In
1 2 2 2
direct
0.000 0.000 0.000
0.135 0.135 0.135
0.865 0.865 0.865
0.437 0.437 0.437
0.563 0.563 0.563
0.263 0.263 0.263
0.737 0.737 0.737

***

Record 3
TmScZnIn (GGA-PBE, optimized geometry); uncorrected energy = -4.1100 eV/atom; DOS at the Fermi energy = 0.75 states/eV/atom; formation enthalpy at 0 K = -0.406 eV per atom; offset from the most stable computed form = 0 meV/atom
1.0
3.513 0.000 0.000
0.000 3.513 0.000
0.000 0.000 7.154
Tm Sc Zn In
1 1 1 1
direct
0.000 0.000 0.000
0.000 0.000 0.541
0.500 0.500 0.753
0.500 0.500 0.285

***

Record 4
TmScZnIn (GGA-PBE, optimized geometry); uncorrected energy = -4.0833 eV/atom; DOS at the Fermi energy = 0.93 states/eV/atom; formation enthalpy at 0 K = -0.379 eV per atom; offset from the most stable computed form = 27 meV/atom
1.0
7.092 0.000 0.000
0.000 7.092 0.000
0.000 0.000 7.092
Tm Sc Zn In
4 4 4 4
direct
0.000 0.000 0.000
0.000 0.500 0.500
0.500 0.000 0.500
0.500 0.500 0.000
0.000 0.000 0.500
0.000 0.500 0.000
0.500 0.000 0.000
0.500 0.500 0.500
0.250 0.250 0.750
0.250 0.750 0.250
0.750 0.250 0.250
0.750 0.750 0.750
0.250 0.250 0.250
0.250 0.750 0.750
0.750 0.250 0.750
0.750 0.750 0.250

***

What is the DOS at the Fermi energy in the fourth record? 0.93 states/eV/atom

***

Among the records above, which one has the highest formation enthalpy at 0 K? TmSc2Zn2In2